(1)
# Os2RhSe SCAN PBEsol geometry
data_Os2RhSe
_chemical_formula_sum 'Os4 Rh2 Se2'
_cell_length_a 2.732
_cell_length_b 4.743
_cell_length_c 9.199
_cell_angle_alpha 90.00
_cell_angle_beta 90.00
_cell_angle_gamma 90.00
_symmetry_space_group_name_H-M 'C m m 2'
_symmetry_Int_Tables_number 35
loop_
_symmetry_equiv_pos_as_xyz
'x,y,z'
'-x,-y,z'
'-x,y,z'
'x,-y,z'
'x+1/2,y+1/2,z'
'-x+1/2,-y+1/2,z'
'-x+1/2,y+1/2,z'
'x+1/2,-y+1/2,z'
loop_
_atom_site_label
_atom_site_fract_x
_atom_site_fract_y
_atom_site_fract_z
Os1 0.000 0.000 0.000
Os2 0.000 0.500 0.239
Rh1 0.000 0.000 0.488
Se1 0.000 0.500 0.732
# DFT total energy (Ry per atom): -3.5779


(2)
# MnTl2Sb SCAN PBEsol geometry
data_MnTl2Sb
_chemical_formula_sum 'Mn2 Tl4 Sb2'
_cell_length_a 7.641
_cell_length_b 4.343
_cell_length_c 6.872
_cell_angle_alpha 90.00
_cell_angle_beta 111.27
_cell_angle_gamma 90.00
_symmetry_space_group_name_H-M 'C 1 m 1'
_symmetry_Int_Tables_number 8
loop_
_symmetry_equiv_pos_as_xyz
'x,y,z'
'x,-y,z'
'x+1/2,y+1/2,z'
'x+1/2,-y+1/2,z'
loop_
_atom_site_label
_atom_site_fract_x
_atom_site_fract_y
_atom_site_fract_z
Mn1 0.000 0.000 0.000
Tl1 0.257 0.000 0.770
Tl2 0.484 0.000 0.450
Sb1 0.208 0.500 0.122
# DFT total energy (Ry per atom): -3.6765
# Excess energy over the best structure of this formula in the dataset (meV/atom): 0


(3)
# Fe2PbBrN SCAN PBEsol geometry
data_Fe2PbBrN
_chemical_formula_sum 'Fe2 Pb1 Br1 N1'
_cell_length_a 4.455
_cell_length_b 4.455
_cell_length_c 4.245
_cell_angle_alpha 90.00
_cell_angle_beta 90.00
_cell_angle_gamma 90.00
_symmetry_space_group_name_H-M 'P 4/m m m'
_symmetry_Int_Tables_number 123
_symmetry_space_group_name_Hall '-P 4 2'
loop_
_atom_site_label
_atom_site_fract_x
_atom_site_fract_y
_atom_site_fract_z
Fe1 0.000 0.500 0.000
Pb1 0.000 0.000 0.500
Br1 0.500 0.500 0.000
N1 0.500 0.500 0.500
# DFT total energy (Ry per atom): -1.9517


(4)
# Sc3TaSi SCAN PBEsol geometry
data_Sc3TaSi
_chemical_formula_sum 'Sc3 Ta1 Si1'
_cell_length_a 4.892
_cell_length_b 4.892
_cell_length_c 4.892
_cell_angle_alpha 90.00
_cell_angle_beta 90.00
_cell_angle_gamma 90.00
_symmetry_space_group_name_H-M 'P m -3 m'
_symmetry_Int_Tables_number 221
_symmetry_space_group_name_Hall '-P 4 2 3'
loop_
_atom_site_label
_atom_site_fract_x
_atom_site_fract_y
_atom_site_fract_z
Sc1 0.000 0.000 0.500
Ta1 0.500 0.500 0.500
Si1 0.000 0.000 0.000
# DFT total energy (Ry per atom): -1.7147


(5)
# ZrZn SCAN PBEsol geometry
data_ZrZn
_chemical_formula_sum 'Zr1 Zn1'
_cell_length_a 3.289
_cell_length_b 3.289
_cell_length_c 3.289
_cell_angle_alpha 90.00
_cell_angle_beta 90.00
_cell_angle_gamma 90.00
_symmetry_space_group_name_H-M 'P m -3 m'
_symmetry_Int_Tables_number 221
_symmetry_space_group_name_Hall '-P 4 2 3'
loop_
_atom_site_label
_atom_site_fract_x
_atom_site_fract_y
_atom_site_fract_z
Zr1 0.000 0.000 0.000
Zn1 0.500 0.500 0.500
# DFT formation energy (eV/atom): -0.377
# DFT total energy (Ry per atom): -1.6525


(6)
# FeReHg SCAN PBEsol geometry
data_FeReHg
_chemical_formula_sum 'Fe1 Re1 Hg1'
_cell_length_a 2.7799
_cell_length_b 2.7799
_cell_length_c 6.7288
_cell_angle_alpha 90.00
_cell_angle_beta 90.00
_cell_angle_gamma 120.00
_symmetry_space_group_name_H-M 'P 3 m 1'
_symmetry_Int_Tables_number 156
loop_
_symmetry_equiv_pos_as_xyz
'x,y,z'
'-y,x-y,z'
'-x+y,-x,z'
'-y,-x,z'
'-x+y,y,z'
'x,x-y,z'
loop_
_atom_site_label
_atom_site_fract_x
_atom_site_fract_y
_atom_site_fract_z
Fe1 0.0000 0.0000 0.0000
Re1 0.6667 0.3333 0.2779
Hg1 0.3333 0.6667 0.6588
# DFT formation energy (eV/atom): 0.504
# DFT total energy (Ry per atom): -3.8190


(7)
# AlPt2Br SCAN PBEsol geometry
data_AlPt2Br
_chemical_formula_sum 'Al1 Pt2 Br1'
_cell_length_a 2.809
_cell_length_b 3.717
_cell_length_c 7.153
_cell_angle_alpha 90.00
_cell_angle_beta 90.00
_cell_angle_gamma 90.00
_symmetry_space_group_name_H-M 'P m m 2'
_symmetry_Int_Tables_number 25
loop_
_symmetry_equiv_pos_as_xyz
'x,y,z'
'-x,-y,z'
'-x,y,z'
'x,-y,z'
loop_
_atom_site_label
_atom_site_fract_x
_atom_site_fract_y
_atom_site_fract_z
Al1 0.000 0.000 0.000
Pt1 0.000 0.000 0.355
Pt2 0.500 0.500 0.121
Br1 0.500 0.500 0.608
# DFT total energy (Ry per atom): -3.0876


(8)
# MgTi2B SCAN PBEsol geometry
data_MgTi2B
_chemical_formula_sum 'Mg4 Ti8 B4'
_cell_length_a 6.833
_cell_length_b 6.833
_cell_length_c 5.188
_cell_angle_alpha 90.00
_cell_angle_beta 90.00
_cell_angle_gamma 90.00
_symmetry_space_group_name_H-M 'I -4 2 d'
_symmetry_Int_Tables_number 122
_symmetry_space_group_name_Hall 'I -4 2bw'
loop_
_atom_site_label
_atom_site_fract_x
_atom_site_fract_y
_atom_site_fract_z
Mg1 0.000 0.000 0.000
Ti1 0.183 0.250 0.625
B1 0.000 0.000 0.500
# DFT formation energy (eV/atom): 0.280
# DFT total energy (Ry per atom): -0.7964


(9)
# Ca3InAg SCAN PBEsol geometry
data_Ca3InAg
_chemical_formula_sum 'Ca3 In1 Ag1'
_cell_length_a 5.849
_cell_length_b 5.849
_cell_length_c 5.849
_cell_angle_alpha 90.00
_cell_angle_beta 90.00
_cell_angle_gamma 90.00
_symmetry_space_group_name_H-M 'P m -3 m'
_symmetry_Int_Tables_number 221
_symmetry_space_group_name_Hall '-P 4 2 3'
loop_
_atom_site_label
_atom_site_fract_x
_atom_site_fract_y
_atom_site_fract_z
Ca1 0.000 0.000 0.500
In1 0.000 0.000 0.000
Ag1 0.500 0.500 0.500
# DFT formation energy (eV/atom): 0.115
# DFT total energy (Ry per atom): -1.3696


(10)
# BeCuAs2 SCAN PBEsol geometry
data_BeCuAs2
_chemical_formula_sum 'Be4 Cu4 As8'
_cell_length_a 4.329
_cell_length_b 4.329
_cell_length_c 13.807
_cell_angle_alpha 90.00
_cell_angle_beta 90.00
_cell_angle_gamma 90.00
_symmetry_space_group_name_H-M 'I -4 2 d'
_symmetry_Int_Tables_number 122
_symmetry_space_group_name_Hall 'I -4 2bw'
loop_
_atom_site_label
_atom_site_fract_x
_atom_site_fract_y
_atom_site_fract_z
Be1 0.000 0.000 0.000
Cu1 0.000 0.000 0.500
As1 0.235 0.250 0.125
# DFT formation energy (eV/atom): 0.073
# DFT total energy (Ry per atom): -1.0959


(11)
# LiZnRh2 SCAN PBEsol geometry
data_LiZnRh2
_chemical_formula_sum 'Li2 Zn2 Rh4'
_cell_length_a 8.462
_cell_length_b 2.702
_cell_length_c 4.646
_cell_angle_alpha 90.00
_cell_angle_beta 100.66
_cell_angle_gamma 90.00
_symmetry_space_group_name_H-M 'C 1 2/m 1'
_symmetry_Int_Tables_number 12
loop_
_symmetry_equiv_pos_as_xyz
'x,y,z'
'-x,-y,-z'
'-x,y,-z'
'x,-y,z'
'x+1/2,y+1/2,z'
'-x+1/2,-y+1/2,-z'
'-x+1/2,y+1/2,-z'
'x+1/2,-y+1/2,z'
loop_
_atom_site_label
_atom_site_fract_x
_atom_site_fract_y
_atom_site_fract_z
Li1 0.000 0.000 0.000
Zn1 0.000 0.500 0.500
Rh1 0.244 0.000 0.752
# DFT formation energy (eV/atom): -0.265
# DFT total energy (Ry per atom): -1.5528


(12)
# CdMoPb2 SCAN PBEsol geometry
data_CdMoPb2
_chemical_formula_sum 'Cd2 Mo2 Pb4'
_cell_length_a 3.672
_cell_length_b 4.881
_cell_length_c 10.641
_cell_angle_alpha 90.00
_cell_angle_beta 90.00
_cell_angle_gamma 90.00
_symmetry_space_group_name_H-M 'C m m m'
_symmetry_Int_Tables_number 65
_symmetry_space_group_name_Hall '-C 2 2'
loop_
_atom_site_label
_atom_site_fract_x
_atom_site_fract_y
_atom_site_fract_z
Cd1 0.000 0.000 0.000
Mo1 0.000 0.000 0.500
Pb1 0.000 0.500 0.288
# DFT formation energy (eV/atom): 0.514
# DFT total energy (Ry per atom): -3.9470


(13)
# NbCuPd2C SCAN PBEsol geometry
data_NbCuPd2C
_chemical_formula_sum 'Nb1 Cu1 Pd2 C1'
_cell_length_a 4.733
_cell_length_b 4.733
_cell_length_c 4.651
_cell_angle_alpha 90.00
_cell_angle_beta 90.00
_cell_angle_gamma 90.00
_symmetry_space_group_name_H-M 'P 4/m m m'
_symmetry_Int_Tables_number 123
_symmetry_space_group_name_Hall '-P 4 2'
loop_
_atom_site_label
_atom_site_fract_x
_atom_site_fract_y
_atom_site_fract_z
Nb1 0.000 0.000 0.000
Cu1 0.000 0.000 0.500
Pd1 0.000 0.500 0.000
C1 0.500 0.500 0.500
# DFT formation energy (eV/atom): 2.562
# DFT total energy (Ry per atom): -1.6341


(14)
# Cs3SiF7 SCAN PBEsol geometry
data_Cs3SiF7
_chemical_formula_sum 'Cs6 Si2 F14'
_cell_length_a 8.211
_cell_length_b 8.211
_cell_length_c 6.110
_cell_angle_alpha 90.00
_cell_angle_beta 90.00
_cell_angle_gamma 90.00
_symmetry_space_group_name_H-M 'P 4/m b m'
_symmetry_Int_Tables_number 127
_symmetry_space_group_name_Hall '-P 4 2ab'
loop_
_atom_site_label
_atom_site_fract_x
_atom_site_fract_y
_atom_site_fract_z
Cs1 0.000 0.000 0.000
Cs2 0.194 0.306 0.500
Si1 0.000 0.500 0.000
F1 0.000 0.000 0.500
F2 0.104 0.604 0.199
F3 0.147 0.353 0.000
# DFT total energy (Ry per atom): -1.2318


(15)
# Er2Al17 SCAN PBEsol geometry
data_Er2Al17
_chemical_formula_sum 'Er4 Al34'
_cell_length_a 9.2884
_cell_length_b 9.2884
_cell_length_c 8.9932
_cell_angle_alpha 90.00
_cell_angle_beta 90.00
_cell_angle_gamma 120.00
_symmetry_space_group_name_H-M 'P 63/m m c'
_symmetry_Int_Tables_number 194
_symmetry_space_group_name_Hall '-P 6c 2c'
loop_
_atom_site_label
_atom_site_fract_x
_atom_site_fract_y
_atom_site_fract_z
Er1 0.0000 0.0000 0.2500
Er2 0.3333 0.6667 0.2500
Al1 0.0000 0.5000 0.0000
Al2 0.0363 0.3647 0.7500
Al3 0.1638 0.3277 0.0238
Al4 0.3333 0.6667 0.6015
# DFT formation energy (eV/atom): -0.090
# DFT total energy (Ry per atom): -0.9059


(16)
# Ni2BiRuCl SCAN PBEsol geometry
data_Ni2BiRuCl
_chemical_formula_sum 'Ni2 Bi1 Ru1 Cl1'
_cell_length_a 4.710
_cell_length_b 4.710
_cell_length_c 5.267
_cell_angle_alpha 90.00
_cell_angle_beta 90.00
_cell_angle_gamma 90.00
_symmetry_space_group_name_H-M 'P 4/m m m'
_symmetry_Int_Tables_number 123
_symmetry_space_group_name_Hall '-P 4 2'
loop_
_atom_site_label
_atom_site_fract_x
_atom_site_fract_y
_atom_site_fract_z
Ni1 0.000 0.500 0.000
Bi1 0.000 0.000 0.000
Ru1 0.500 0.500 0.500
Cl1 0.000 0.000 0.500
# DFT total energy (Ry per atom): -2.1478


(17)
# Sc3BiPt SCAN PBEsol geometry
data_Sc3BiPt
_chemical_formula_sum 'Sc3 Bi1 Pt1'
_cell_length_a 5.039
_cell_length_b 5.039
_cell_length_c 5.039
_cell_angle_alpha 90.00
_cell_angle_beta 90.00
_cell_angle_gamma 90.00
_symmetry_space_group_name_H-M 'P m -3 m'
_symmetry_Int_Tables_number 221
_symmetry_space_group_name_Hall '-P 4 2 3'
loop_
_atom_site_label
_atom_site_fract_x
_atom_site_fract_y
_atom_site_fract_z
Sc1 0.000 0.000 0.500
Bi1 0.500 0.500 0.500
Pt1 0.000 0.000 0.000
# DFT formation energy (eV/atom): -0.727
# DFT total energy (Ry per atom): -2.8682


(18)
# BaCuSn2 SCAN PBEsol geometry
data_BaCuSn2
_chemical_formula_sum 'Ba4 Cu4 Sn8'
_cell_length_a 4.300
_cell_length_b 12.956
_cell_length_c 7.528
_cell_angle_alpha 90.00
_cell_angle_beta 90.00
_cell_angle_gamma 90.00
_symmetry_space_group_name_H-M 'C m c m'
_symmetry_Int_Tables_number 63
_symmetry_space_group_name_Hall '-C 2c 2'
loop_
_atom_site_label
_atom_site_fract_x
_atom_site_fract_y
_atom_site_fract_z
Ba1 0.000 0.055 0.250
Cu1 0.000 0.218 0.750
Sn1 0.000 0.337 0.052
# DFT formation energy (eV/atom): -0.443
# DFT total energy (Ry per atom): -2.3587


(19)
# BaIrOs2 SCAN PBEsol geometry
data_BaIrOs2
_chemical_formula_sum 'Ba3 Ir3 Os6'
_cell_length_a 2.8498
_cell_length_b 2.8498
_cell_length_c 30.6039
_cell_angle_alpha 90.00
_cell_angle_beta 90.00
_cell_angle_gamma 120.00
_symmetry_space_group_name_H-M 'R -3 m'
_symmetry_Int_Tables_number 166
_symmetry_space_group_name_Hall '-R 3 2"'
loop_
_atom_site_label
_atom_site_fract_x
_atom_site_fract_y
_atom_site_fract_z
Ba1 0.0000 0.0000 0.0000
Ir1 0.0000 0.0000 0.5000
Os1 0.0000 0.0000 0.2356
# DFT formation energy (eV/atom): 1.212
# DFT total energy (Ry per atom): -4.5856
# Excess energy over the best structure of this formula in the dataset (meV/atom): 159


(20)
# HfGaHgIr2 SCAN PBEsol geometry
data_HfGaHgIr2
_chemical_formula_sum 'Hf1 Ga1 Hg1 Ir2'
_cell_length_a 4.503
_cell_length_b 4.503
_cell_length_c 4.860
_cell_angle_alpha 90.00
_cell_angle_beta 90.00
_cell_angle_gamma 90.00
_symmetry_space_group_name_H-M 'P 4/m m m'
_symmetry_Int_Tables_number 123
_symmetry_space_group_name_Hall '-P 4 2'
loop_
_atom_site_label
_atom_site_fract_x
_atom_site_fract_y
_atom_site_fract_z
Hf1 0.000 0.000 0.000
Ga1 0.000 0.000 0.500
Hg1 0.500 0.500 0.000
Ir1 0.000 0.500 0.500
# DFT formation energy (eV/atom): 0.862
# DFT total energy (Ry per atom): -4.1905